Record 1
Computed, not measured: ZrSc2W after structural relaxation at the PBE level of DFT.

The structure in CIF format:
```
data_ZrSc2W
_cell_length_a 2.913
_cell_length_b 2.913
_cell_length_c 9.918
_cell_angle_alpha 90.00
_cell_angle_beta 90.00
_cell_angle_gamma 90.00
_space_group_name_H-M_alt 'P 1'
_space_group_IT_number 1
_space_group_name_Hall 'P 1'
loop_
_atom_site_label
_atom_site_type_symbol
_atom_site_fract_x
_atom_site_fract_y
_atom_site_fract_z
Zr1 Zr 0.000 0.000 0.000
Sc1 Sc 0.000 0.000 0.545
Sc2 Sc 0.500 0.500 0.263
W1 W 0.500 0.500 0.764
```

- Total moment: 0.00 μB per formula unit
- Energy above the most stable polymorph in this dataset: 90 meV per atom
- Space-group type: P4mm (99)
- ΔE_f: 0.25 eV/atom

Record 2
Computed, not measured: ZrScW2 after structural relaxation at the PBE level of DFT.

The structure in CIF format:
```
data_ZrScW2
_cell_length_a 3.230
_cell_length_b 3.230
_cell_length_c 7.542
_cell_angle_alpha 90.00
_cell_angle_beta 90.00
_cell_angle_gamma 90.00
_space_group_name_H-M_alt 'P 1'
_space_group_IT_number 1
_space_group_name_Hall 'P 1'
loop_
_atom_site_label
_atom_site_type_symbol
_atom_site_fract_x
_atom_site_fract_y
_atom_site_fract_z
Zr1 Zr 0.000 0.000 0.000
Sc1 Sc 0.500 0.500 0.328
W1 W 0.000 0.000 0.569
W2 W 0.500 0.500 0.759
```

- Total moment: 0.23 μB per formula unit
- Energy above the most stable polymorph in this dataset: 0 meV per atom
- Space-group type: P4mm (99)
- ΔE_f: 0.12 eV/atom

total moment of number 2 (ZrScW2)?
0.23 μB per formula unit